Record 1
Ag2PbW after structural relaxation, computed with PBE-GGA.

E_form in kcal/mol of atoms: 13.982
M_tot in Bohr magnetons per cell: 0.000
Calculated volume in A^3/atom: 20.068
DOS(E_F) in states/eV/atom: 0.37
Uncorrected energy in eV/atom: -4.9847
Distance to the lowest polymorph of the same formula in meV per atom: 3

The structure in POSCAR format:
```
Ag2PbW
1.0
1.803 -2.313 0.000
1.803 2.313 0.000
0.000 0.000 9.626
Ag Pb W
2 1 1
direct
0.000 0.000 0.000
0.500 0.500 0.227
0.500 0.500 0.702
0.000 0.000 0.452
```


Record 2
AgPb2W after structural relaxation, computed with PBE-GGA.

E_form in kcal/mol of atoms: 19.934
M_tot in Bohr magnetons per cell: 0.000
Calculated volume in A^3/atom: 22.162
DOS(E_F) in states/eV/atom: 0.60
Uncorrected energy in eV/atom: -4.9409
Distance to the lowest polymorph of the same formula in meV per atom: 248

The structure in POSCAR format:
```
AgPb2W
1.0
5.009 -1.527 0.000
5.009 1.527 0.000
-0.676 0.000 5.796
Ag Pb W
1 2 1
direct
0.000 0.000 0.000
0.241 0.241 0.740
0.759 0.759 0.260
0.500 0.500 0.500
```


Record 3
AgPb2W after structural relaxation, computed with PBE-GGA.

E_form in kcal/mol of atoms: 22.696
M_tot in Bohr magnetons per cell: 1.152
Calculated volume in A^3/atom: 22.137
DOS(E_F) in states/eV/atom: 0.61
Uncorrected energy in eV/atom: -4.8211
Distance to the lowest polymorph of the same formula in meV per atom: 367

The structure in POSCAR format:
```
AgPb2W
1.0
0.000 3.538 3.538
3.538 0.000 3.538
3.538 3.538 0.000
Ag Pb W
1 2 1
direct
0.000 0.000 0.000
0.250 0.250 0.250
0.750 0.750 0.750
0.500 0.500 0.500
```


Record 4
AgPbW4 after structural relaxation, computed with PBE-GGA.

E_form in kcal/mol of atoms: 20.394
M_tot in Bohr magnetons per cell: 0.000
Calculated volume in A^3/atom: 18.768
DOS(E_F) in states/eV/atom: 0.88
Uncorrected energy in eV/atom: -8.8444

The structure in POSCAR format:
```
AgPbW4
1.0
0.000 3.833 3.833
3.833 0.000 3.833
3.833 3.833 0.000
Ag Pb W
1 1 4
direct
0.000 0.000 0.000
0.750 0.750 0.750
0.373 0.373 0.373
0.373 0.373 0.882
0.373 0.882 0.373
0.882 0.373 0.373
```


Record 5
AgPbW2 after structural relaxation, computed with PBE-GGA.

E_form in kcal/mol of atoms: 29.263
M_tot in Bohr magnetons per cell: 0.000
Calculated volume in A^3/atom: 18.093
DOS(E_F) in states/eV/atom: 0.50
Uncorrected energy in eV/atom: -6.8475
Distance to the lowest polymorph of the same formula in meV per atom: 678

The structure in POSCAR format:
```
AgPbW2
1.0
3.256 0.000 0.000
0.000 3.256 0.000
0.000 0.000 6.827
Ag Pb W
1 1 2
direct
0.000 0.000 0.000
0.000 0.000 0.500
0.500 0.500 0.251
0.500 0.500 0.749
```


Record 6
AgPb2W after structural relaxation, computed with PBE-GGA.

E_form in kcal/mol of atoms: 14.225
M_tot in Bohr magnetons per cell: 0.000
Calculated volume in A^3/atom: 24.120
DOS(E_F) in states/eV/atom: 0.47
Uncorrected energy in eV/atom: -5.1884
Distance to the lowest polymorph of the same formula in meV per atom: 0

The structure in POSCAR format:
```
AgPb2W
1.0
3.030 0.000 0.000
0.000 3.030 0.000
0.000 0.000 10.509
Ag Pb W
1 2 1
direct
0.000 0.000 0.000
0.000 0.000 0.595
0.500 0.500 0.225
0.500 0.500 0.815
```


Record 7
AgPb2W after structural relaxation, computed with PBE-GGA.

E_form in kcal/mol of atoms: 18.426
M_tot in Bohr magnetons per cell: 0.000
Calculated volume in A^3/atom: 21.991
DOS(E_F) in states/eV/atom: 0.52
Uncorrected energy in eV/atom: -5.0062
Distance to the lowest polymorph of the same formula in meV per atom: 182

The structure in POSCAR format:
```
AgPb2W
1.0
3.070 0.000 0.000
0.000 4.745 0.000
0.000 0.000 6.040
Ag Pb W
1 2 1
direct
0.000 0.000 0.000
0.000 0.000 0.535
0.500 0.500 0.206
0.500 0.500 0.729
```


Record 8
AgPb2W after structural relaxation, computed with PBE-GGA.

E_form in kcal/mol of atoms: 18.931
M_tot in Bohr magnetons per cell: 0.008
Calculated volume in A^3/atom: 22.001
DOS(E_F) in states/eV/atom: 0.77
Uncorrected energy in eV/atom: -4.9843
Distance to the lowest polymorph of the same formula in meV per atom: 204

The structure in POSCAR format:
```
AgPb2W
1.0
3.827 0.000 0.000
0.000 3.827 0.000
0.000 0.000 6.010
Ag Pb W
1 2 1
direct
0.000 0.000 0.000
0.000 0.000 0.535
0.500 0.500 0.207
0.500 0.500 0.726
```


Record 9
AgPbW2 after structural relaxation, computed with PBE-GGA.

E_form in kcal/mol of atoms: 24.063
M_tot in Bohr magnetons per cell: 0.000
Calculated volume in A^3/atom: 18.462
DOS(E_F) in states/eV/atom: 0.71
Uncorrected energy in eV/atom: -7.0730
Distance to the lowest polymorph of the same formula in meV per atom: 452

The structure in POSCAR format:
```
AgPbW2
1.0
2.799 -4.620 0.000
2.799 4.620 0.000
0.000 0.000 2.856
Ag Pb W
1 1 2
direct
0.000 0.000 0.000
0.500 0.500 0.000
0.000 0.500 0.500
0.500 0.000 0.500
```


Record 10
AgPbW2 after structural relaxation, computed with PBE-GGA.

E_form in kcal/mol of atoms: 21.201
M_tot in Bohr magnetons per cell: 0.000
Calculated volume in A^3/atom: 18.705
DOS(E_F) in states/eV/atom: 0.76
Uncorrected energy in eV/atom: -7.1971
Distance to the lowest polymorph of the same formula in meV per atom: 328

The structure in POSCAR format:
```
AgPbW2
1.0
4.822 -1.427 0.000
4.822 1.427 0.000
-0.490 0.000 5.437
Ag Pb W
1 1 2
direct
0.000 0.000 0.000
0.247 0.247 0.767
0.496 0.496 0.470
0.741 0.741 0.271
```


Record 11
AgPbW2 after structural relaxation, computed with PBE-GGA.

E_form in kcal/mol of atoms: 13.639
M_tot in Bohr magnetons per cell: 0.000
Calculated volume in A^3/atom: 19.858
DOS(E_F) in states/eV/atom: 0.65
Uncorrected energy in eV/atom: -7.5250
Distance to the lowest polymorph of the same formula in meV per atom: 0

The structure in POSCAR format:
```
AgPbW2
1.0
1.653 -2.445 0.000
1.653 2.445 0.000
0.000 0.000 9.828
Ag Pb W
1 1 2
direct
0.000 0.000 0.000
0.500 0.500 0.290
0.000 0.000 0.561
0.500 0.500 0.761
```


Record 12
Ag2PbW after structural relaxation, computed with PBE-GGA.

E_form in kcal/mol of atoms: 13.920
M_tot in Bohr magnetons per cell: 0.000
Calculated volume in A^3/atom: 19.998
DOS(E_F) in states/eV/atom: 0.87
Uncorrected energy in eV/atom: -4.9874
Distance to the lowest polymorph of the same formula in meV per atom: 0

The structure in POSCAR format:
```
Ag2PbW
1.0
2.930 0.000 0.000
0.000 2.930 0.000
0.000 0.000 9.317
Ag Pb W
2 1 1
direct
0.000 0.000 0.220
0.000 0.000 0.780
0.500 0.500 0.500
0.500 0.500 0.000
```


Record 13
AgPbW2 after structural relaxation, computed with PBE-GGA.

E_form in kcal/mol of atoms: 24.199
M_tot in Bohr magnetons per cell: 0.000
Calculated volume in A^3/atom: 18.594
DOS(E_F) in states/eV/atom: 0.53
Uncorrected energy in eV/atom: -7.0671
Distance to the lowest polymorph of the same formula in meV per atom: 458

The structure in POSCAR format:
```
AgPbW2
1.0
1.486 0.858 9.727
-1.486 0.858 9.727
0.000 -1.716 9.727
Ag Pb W
1 1 2
direct
0.000 0.000 0.000
0.500 0.500 0.500
0.253 0.253 0.253
0.747 0.747 0.747
```


Record 14
Ag3PbW after structural relaxation, computed with PBE-GGA.

E_form in kcal/mol of atoms: 41.453
M_tot in Bohr magnetons per cell: 4.661
Calculated volume in A^3/atom: 28.568
DOS(E_F) in states/eV/atom: 0.44
Uncorrected energy in eV/atom: -3.2455

The structure in POSCAR format:
```
Ag3PbW
1.0
5.227 0.000 0.000
0.000 5.227 0.000
0.000 0.000 5.227
Ag Pb W
3 1 1
direct
0.000 0.000 0.500
0.000 0.500 0.000
0.500 0.000 0.000
0.000 0.000 0.000
0.500 0.500 0.500
```


Record 15
AgPbW2 after structural relaxation, computed with PBE-GGA.

E_form in kcal/mol of atoms: 35.214
M_tot in Bohr magnetons per cell: 0.000
Calculated volume in A^3/atom: 20.022
DOS(E_F) in states/eV/atom: 1.20
Uncorrected energy in eV/atom: -6.5895
Distance to the lowest polymorph of the same formula in meV per atom: 936

The structure in POSCAR format:
```
AgPbW2
1.0
-3.818 3.818 2.747
3.818 -3.818 2.747
3.818 3.818 -2.747
Ag Pb W
2 2 4
direct
0.000 0.000 0.000
0.750 0.250 0.500
0.250 0.750 0.500
0.500 0.500 0.000
0.113 0.625 0.988
0.375 0.363 0.488
0.637 0.125 0.012
0.875 0.887 0.512
```